Computed, not measured: a relaxed structure of YMo2 at the PBE level of DFT.

Its formation energy is 578 meV/atom. For the total magnetization, the calculation gives 0.000 μB/atom. The calculation puts the density of states at the Fermi level at 0.929 states/eV/atom.

Cell and atoms, written as POSCAR:
```
YMo2
1.0
-1.3943 2.5324 4.1261
1.3943 -2.5324 4.1261
1.3943 2.5324 -4.1261
Y Mo
1 2
direct
0.0000 0.0000 0.0000
0.3455 0.3455 0.0000
0.6545 0.6545 0.0000
```